Computed, not measured: a relaxed Y5Ga3 crystal at the PBE level of DFT.

* energy relative to the elements: -0.531 eV/atom
* electronic total energy: -5.706 eV per atom
* excess energy over the best structure of this formula in the dataset: 0 meV/atom

Lattice parameters (Å, degrees): 7.6439 7.6439 14.2426 90.00 90.00 90.00
Positions (direct):
Y  0.8200  0.1587  0.1033
Y  0.1800  0.8413  0.1033
Y  0.5000  0.0000  0.2673
Y  0.3200  0.3413  0.3967
Y  0.0000  0.5000  0.2327
Y  0.0000  0.5000  0.7327
Y  0.8413  0.1800  0.3967
Y  0.3413  0.3200  0.1033
Y  0.1800  0.1587  0.6033
Y  0.5000  0.0000  0.7673
Y  0.6800  0.6587  0.3967
Y  0.6800  0.3413  0.8967
Y  0.3413  0.6800  0.6033
Y  0.6587  0.6800  0.1033
Y  0.8413  0.8200  0.8967
Y  0.1587  0.1800  0.8967
Y  0.3200  0.6587  0.8967
Y  0.8200  0.8413  0.6033
Y  0.6587  0.3200  0.6033
Y  0.1587  0.8200  0.3967
Ga  0.5000  0.0000  0.9939
Ga  0.3774  0.3774  0.7500
Ga  0.0000  0.5000  0.5061
Ga  0.8774  0.8774  0.2500
Ga  0.6226  0.6226  0.7500
Ga  0.3774  0.6226  0.2500
Ga  0.0000  0.5000  0.0061
Ga  0.1226  0.8774  0.7500
Ga  0.1226  0.1226  0.2500
Ga  0.6226  0.3774  0.2500
Ga  0.8774  0.1226  0.7500
Ga  0.5000  0.0000  0.4939


Computed, not measured: a relaxed DyAlPdAu crystal at the PBE level of DFT.

* energy relative to the elements: -0.758 eV/atom
* electronic total energy: -4.962 eV per atom

Lattice parameters (Å, degrees): 4.7611 4.7611 4.7611 60.00 60.00 60.00
Positions (direct):
Dy  0.7500  0.7500  0.7500
Au  0.0000  0.0000  0.0000
Al  0.2500  0.2500  0.2500
Pd  0.5000  0.5000  0.5000


Computed, not measured: a relaxed NbVSi crystal at the PBE level of DFT.

* electronic total energy: -8.374 eV per atom
* formation energy without anion corrections: -0.171 eV per atom

Lattice parameters (Å, degrees): 2.7504 4.3509 4.3509 120.00 90.00 90.00
Positions (direct):
V  0.3167  0.6667  0.3333
Si  0.0450  0.0000  0.0000
Nb  0.6383  0.3333  0.6667


Computed, not measured: a relaxed NdThPb crystal at the PBE level of DFT.

* energy relative to the elements: -0.381 eV/atom
* electronic total energy: -5.679 eV per atom
* excess energy over the best structure of this formula in the dataset: 0 meV/atom

Lattice parameters (Å, degrees): 4.6489 4.6489 9.6298 103.97 103.97 90.00
Positions (direct):
Nd  0.8248  0.8248  0.6497
Nd  0.1752  0.1752  0.3503
Th  0.0000  0.5000  0.0000
Th  0.5000  0.0000  0.0000
Pb  0.6411  0.6411  0.2822
Pb  0.3589  0.3589  0.7178


Number 1: DOS at the Fermi energy 0.683 states/eV per atom. Number 2: DOS at the Fermi energy 0.595 states/eV per atom. Number 3: DOS at the Fermi energy 0.865 states/eV per atom. Number 4: DOS at the Fermi energy 1.306 states/eV per atom.